[1]
The following is a DFT calculation (PBE-GGA) of crystalline BeSi2Ag at its relaxed geometry.

## Properties
Formation energy without anion corrections, eV per atom: 0.371
Energy, eV for the cell shown: -15.9
Space-group type: C2/m, No. 12
Magnetic moment, Bohr magnetons per cell: 0.0
N(E_F), states/eV/cell: 0.85
Volume, Å³/cell: 60.80

Geometry as POSCAR:
```
BeSi2Ag
1.0
3.933 -1.395 0.000
3.933 1.395 0.000
-1.677 0.000 5.543
Be Si Ag
1 2 1
Direct
0.000 0.000 0.000
0.258 0.258 0.814
0.742 0.742 0.186
0.500 0.500 0.500
```

=====

[2]
The following is a DFT calculation (PBE-GGA) of crystalline BeSiAg2 at its relaxed geometry.

## Properties
Formation energy without anion corrections, eV per atom: 0.293
Energy, eV for the cell shown: -13.7
Space-group type: R3m, No. 160
Magnetic moment, Bohr magnetons per cell: 0.0
E above lowest polymorph, eV per formula unit: 0.182
N(E_F), states/eV/cell: 2.14
Volume, Å³/cell: 59.70

Geometry as POSCAR:
```
BeSiAg2
1.0
1.436 0.829 8.357
-1.436 0.829 8.357
0.000 -1.658 8.357
Be Si Ag
1 1 2
Direct
0.000 0.000 0.000
0.262 0.262 0.262
0.507 0.507 0.507
0.741 0.741 0.741
```

=====

[3]
The following is a DFT calculation (PBE-GGA) of crystalline Be2SiAg at its relaxed geometry.

## Properties
Formation energy without anion corrections, eV per atom: 0.380
Energy, eV for the cell shown: -14.2
Space-group type: P2/m, No. 10
Magnetic moment, Bohr magnetons per cell: 0.0
N(E_F), states/eV/cell: 0.81
Volume, Å³/cell: 51.19

Geometry as POSCAR:
```
Be2SiAg
1.0
4.196 0.000 0.000
0.000 2.980 0.000
-1.802 0.000 4.094
Be Si Ag
2 1 1
Direct
0.000 0.000 0.000
0.000 0.500 0.500
0.500 0.000 0.500
0.500 0.500 0.000
```

=====

[4]
The following is a DFT calculation (PBE-GGA) of crystalline Be3SiAg at its relaxed geometry.

## Properties
Formation energy without anion corrections, eV per atom: 0.846
Energy, eV for the cell shown: -15.2
Space-group type: Pm-3m, No. 221
Magnetic moment, Bohr magnetons per cell: 0.0
E above lowest polymorph, eV per formula unit: 0.000
N(E_F), states/eV/cell: 1.57
Volume, Å³/cell: 74.84

Geometry as POSCAR:
```
Be3SiAg
1.0
4.214 0.000 0.000
0.000 4.214 0.000
0.000 0.000 4.214
Be Si Ag
3 1 1
Direct
0.000 0.000 0.500
0.000 0.500 0.000
0.500 0.000 0.000
0.000 0.000 0.000
0.500 0.500 0.500
```

=====

[5]
The following is a DFT calculation (PBE-GGA) of crystalline BeSi2Ag at its relaxed geometry.

## Properties
Formation energy without anion corrections, eV per atom: 0.368
Energy, eV for the cell shown: -16.0
Space-group type: Cm, No. 8
Magnetic moment, Bohr magnetons per cell: 0.0
N(E_F), states/eV/cell: 1.15
Volume, Å³/cell: 61.94

Geometry as POSCAR:
```
BeSi2Ag
1.0
4.030 -1.405 0.000
4.030 1.405 0.000
-2.373 0.000 5.471
Be Si Ag
1 2 1
Direct
0.000 0.000 0.000
0.319 0.319 0.122
0.609 0.609 0.757
0.250 0.250 0.498
```

=====

[6]
The following is a DFT calculation (PBE-GGA) of crystalline BeSi2Ag at its relaxed geometry.

## Properties
Formation energy without anion corrections, eV per atom: 0.525
Energy, eV for the cell shown: -15.3
Space-group type: Cmmm, No. 65
Magnetic moment, Bohr magnetons per cell: 0.0
N(E_F), states/eV/cell: 1.54
Volume, Å³/cell: 58.77

Geometry as POSCAR:
```
BeSi2Ag
1.0
2.631 -3.814 0.000
2.631 3.814 0.000
0.000 0.000 2.928
Be Si Ag
1 2 1
Direct
0.000 0.000 0.000
0.000 0.500 0.500
0.500 0.000 0.500
0.500 0.500 0.000
```